# 1
ZrBe3Sn PBE-GGA relaxed; size of the total moment = 0.0 μB/f.u.; final energy = -16.3 eV per cell; formation energy from the elements = 1487 meV/atom
1.0
4.705 0.000 0.000
0.000 4.705 0.000
0.000 0.000 4.705
Zr Be Sn
1 3 1
Direct
0.000 0.000 0.000
0.000 0.000 0.500
0.000 0.500 0.000
0.500 0.000 0.000
0.500 0.500 0.500



# 2
ZrBe3Sn PBE-GGA relaxed; size of the total moment = 0.0 μB/f.u.; final energy = -18.4 eV per cell; formation energy from the elements = 1074 meV/atom
1.0
4.460 0.000 0.000
0.000 4.460 0.000
0.000 0.000 4.460
Zr Be Sn
1 3 1
Direct
0.000 0.000 0.000
0.000 0.500 0.500
0.500 0.000 0.500
0.500 0.500 0.000
0.500 0.500 0.500



# 3
Zr3BeSn PBE-GGA relaxed; size of the total moment = 0.0 μB/f.u.; final energy = -33.9 eV per cell; formation energy from the elements = -102 meV/atom
1.0
4.743 0.000 0.000
0.000 4.743 0.000
0.000 0.000 4.743
Zr Be Sn
3 1 1
Direct
0.000 0.000 0.500
0.000 0.500 0.000
0.500 0.000 0.000
0.000 0.000 0.000
0.500 0.500 0.500



> final energy of number 1 (ZrBe3Sn)?

-16.3 eV per cell